# 1
Compound: TaInSe2
Source: Alexandria via LeMat-Bulk
Functional: PBE
Structure: relaxed

Properties
**Magnetization**: 0.0 μB per formula unit
**Raw formation energy**: -55 kJ/mol of formula units

Unit cell a=3.607 b=5.054 c=5.014 alpha=90.00 beta=111.08 gamma=90.00
Element x y z (fractional)
Ta (0.000, 0.000, 0.000)
In (0.384, 0.500, 0.772)
Se (0.097, 0.500, 0.199)
Se (0.707, 0.000, 0.415)

=====

# 2
Compound: TaIn3Se4
Source: Alexandria via LeMat-Bulk
Functional: PBE
Structure: relaxed

Properties
**Magnetization**: 0.0 μB per formula unit
**Raw formation energy**: -373 kJ/mol of formula units

Unit cell a=6.861 b=6.861 c=6.861 alpha=109.47 beta=109.47 gamma=109.47
Element x y z (fractional)
Ta (0.000, 0.000, 0.000)
In (0.000, 0.500, 0.500)
In (0.500, 0.000, 0.500)
In (0.500, 0.500, 0.000)
Se (0.000, 0.000, 0.648)
Se (0.000, 0.648, 0.000)
Se (0.352, 0.352, 0.352)
Se (0.648, 0.000, 0.000)